w) Entry from Alexandria via LeMat-Bulk: a relaxed Ce4S6I crystal (PBE).

The magnetization is 3.02 μB/f.u.

The structure belongs to space group I-42m (No. 121); the cell edges are 7.616, 7.616 and 10.206 Å and the angles 90.00°, 90.00° and 90.00°. Symmetry generates all atoms from Ce at (0.215, 0.215, 0.105), S at (0.000, 0.500, 0.000), S at (0.149, 0.149, 0.838) and I at (0.000, 0.000, 0.500).

x) Entry from Alexandria via LeMat-Bulk: a relaxed Ce4S6I crystal (PBE).

The magnetization is 2.94 μB/f.u.

The structure belongs to space group P-6m2 (No. 187); the cell edges are 8.5998, 8.5998 and 4.0271 Å and the angles 90.00°, 90.00° and 120.00°. Symmetry generates all atoms from Ce at (0.0000, 0.0000, 0.0000), Ce at (0.0302, 0.5151, 0.5000), S at (0.2073, 0.4147, 0.0000), S at (0.2755, 0.1378, 0.5000) and I at (0.6667, 0.3333, 0.0000).

Tell me which of them is the least stable. Sure, it is w).

w) Entry from Alexandria via LeMat-Bulk: a relaxed Ce3SiI3 crystal (PBE).

The magnetization is 3.38 μB/f.u.

The structure belongs to space group P2_1/m (No. 11); the cell edges are 9.010, 4.305 and 12.454 Å and the angles 90.00°, 90.03° and 90.00°. Symmetry generates all atoms from Ce at (0.101, 0.250, 0.114), Ce at (0.119, 0.250, 0.650), Ce at (0.336, 0.750, 0.881), Si at (0.121, 0.250, 0.879), I at (0.146, 0.250, 0.380), I at (0.379, 0.750, 0.624) and I at (0.381, 0.750, 0.140).

x) Entry from Alexandria via LeMat-Bulk: a relaxed Ce3SiI3 crystal (PBE).

The magnetization is 3.34 μB/f.u.

The structure belongs to space group I4_132 (No. 214); the cell edges are 12.419, 12.419 and 12.419 Å and the angles 90.00°, 90.00° and 90.00°. Symmetry generates all atoms from Ce at (0.110, 0.360, 0.125), Si at (0.125, 0.125, 0.125) and I at (0.116, 0.134, 0.625).

Tell me which of them is the least stable. Sure, it is w).

w) Entry from Alexandria via LeMat-Bulk: a relaxed Ce2SmI6 crystal (PBE).

The magnetization is 3.90 μB/f.u.

The structure belongs to space group C2/m (No. 12); the cell edges are 17.882, 4.225 and 11.001 Å and the angles 90.00°, 113.38° and 90.00°. Symmetry generates all atoms from Ce at (0.176, 0.000, 0.347), Sm at (0.000, 0.500, 0.000), I at (0.030, 0.500, 0.301), I at (0.137, 0.000, 0.031) and I at (0.187, 0.000, 0.645).

x) Entry from Alexandria via LeMat-Bulk: a relaxed Ce2SmI6 crystal (PBE).

The magnetization is 3.15 μB/f.u.

The structure belongs to space group R3 (No. 146, hexagonal axes); the cell edges are 7.7805, 7.7805 and 22.2454 Å and the angles 90.00°, 90.00° and 120.00°. Symmetry generates all atoms from Ce at (0.0000, 0.0000, 0.0000), Ce at (0.0000, 0.0000, 0.1656), Sm at (0.0000, 0.0000, 0.8364), I at (0.0040, 0.3257, 0.5822) and I at (0.0084, 0.6710, 0.4169).

Tell me which of them is the least stable. Sure, it is x).

w) Entry from Alexandria via LeMat-Bulk: a relaxed Ce2SnI crystal (PBE).

The magnetization is 3.18 μB/f.u.

The structure belongs to space group P4/mmm (No. 123); the cell edges are 3.799, 3.799 and 8.194 Å and the angles 90.00°, 90.00° and 90.00°. Symmetry generates all atoms from Ce at (0.000, 0.000, 0.235), Sn at (0.500, 0.500, 0.000) and I at (0.500, 0.500, 0.500).

x) Entry from Alexandria via LeMat-Bulk: a relaxed Ce2SnI crystal (PBE).

The magnetization is 2.17 μB/f.u.

The structure belongs to space group R-3m (No. 166, hexagonal axes); the cell edges are 4.6238, 4.6238 and 21.3114 Å and the angles 90.00°, 90.00° and 120.00°. Symmetry generates all atoms from Ce at (0.0000, 0.0000, 0.2460), Sn at (0.0000, 0.0000, 0.5000) and I at (0.0000, 0.0000, 0.0000).

y) Entry from Alexandria via LeMat-Bulk: a relaxed Ce2SnI crystal (PBE).

The magnetization is 2.86 μB/f.u.

The structure belongs to space group Fm-3m (No. 225); the cell edges are 7.783, 7.783 and 7.783 Å and the angles 90.00°, 90.00° and 90.00°. Symmetry generates all atoms from Ce at (0.250, 0.250, 0.250), Sn at (0.000, 0.000, 0.000) and I at (0.000, 0.000, 0.500).

Tell me which of them is the least stable. Sure, it is y).

w) Entry from Alexandria via LeMat-Bulk: a relaxed TbCe2I6 crystal (PBE).

The magnetization is 3.98 μB/f.u.

The structure belongs to space group C2/m (No. 12); the cell edges are 17.566, 4.202 and 11.580 Å and the angles 90.00°, 115.94° and 90.00°. Symmetry generates all atoms from Tb at (0.000, 0.000, 0.000), Ce at (0.178, 0.500, 0.350), I at (0.023, 0.000, 0.280), I at (0.140, 0.500, 0.047) and I at (0.178, 0.500, 0.627).

x) Entry from Alexandria via LeMat-Bulk: a relaxed TbCe2I6 crystal (PBE).

The magnetization is 3.13 μB/f.u.

The structure belongs to space group R3 (No. 146, hexagonal axes); the cell edges are 7.7654, 7.7654 and 22.0894 Å and the angles 90.00°, 90.00° and 120.00°. Symmetry generates all atoms from Tb at (0.0000, 0.0000, 0.0000), Ce at (0.0000, 0.0000, 0.1637), Ce at (0.0000, 0.0000, 0.3284), I at (0.0066, 0.3483, 0.4105) and I at (0.0146, 0.6713, 0.5804).

Tell me which of them is the least stable. Sure, it is x).

w) Entry from Alexandria via LeMat-Bulk: a relaxed TbCeI6 crystal (PBE).

The magnetization is 1.00 μB/f.u.

The structure belongs to space group C2/m (No. 12); the cell edges are 7.640, 14.424 and 7.636 Å and the angles 90.00°, 107.88° and 90.00°. Symmetry generates all atoms from Tb at (0.000, 0.000, 0.000), Ce at (0.000, 0.500, 0.500), I at (0.240, 0.149, 0.244) and I at (0.249, 0.000, 0.756).

x) Entry from Alexandria via LeMat-Bulk: a relaxed TbCeI6 crystal (PBE).

The magnetization is 1.00 μB/f.u.

The structure belongs to space group R-3 (No. 148, hexagonal axes); the cell edges are 7.7579, 7.7579 and 21.1828 Å and the angles 90.00°, 90.00° and 120.00°. Symmetry generates all atoms from Tb at (0.0000, 0.0000, 0.0000), Ce at (0.0000, 0.0000, 0.5000) and I at (0.0043, 0.3264, 0.0819).

Tell me which of them is the least stable. Sure, it is x).